(1)
Computed, not measured: crystalline CeMgPb at its relaxed geometry at the PBE level of DFT.

Unit cell a=5.1022 b=5.1022 c=3.6480 alpha=90.00 beta=90.00 gamma=120.00
Fractional coordinates of all 3 atoms:
Ce 0.0000 0.0000 0.0000
Mg 0.3333 0.6667 0.5014
Pb 0.6667 0.3333 0.4980

Calculated values
space group	P3m1 (156)
mass density	7.50	g/cm³
formation energy from the elements	-0.241	eV/atom
total moment	0.98	μB/cell

=====

(2)
Computed, not measured: crystalline CeGdInIr at its relaxed geometry at the PBE level of DFT.

Unit cell a=5.1571 b=5.1571 c=5.1571 alpha=60.00 beta=60.00 gamma=60.00
Fractional coordinates of all 4 atoms:
Ce 0.0000 0.0000 0.0000
Gd 0.5000 0.5000 0.5000
In 0.2500 0.2500 0.2500
Ir 0.7500 0.7500 0.7500

Calculated values
space group	F-43m (216)
mass density	10.35	g/cm³
formation energy from the elements	-0.421	eV/atom
total moment	7.53	μB/cell

=====

(3)
Computed, not measured: crystalline HgPd2Br6 at its relaxed geometry at the PBE level of DFT.

Unit cell a=8.9269 b=8.9269 c=8.0667 alpha=96.21 beta=96.21 gamma=93.25
Fractional coordinates of all 18 atoms:
Hg 0.2322 0.7678 0.7500
Hg 0.7678 0.2322 0.2500
Pd 0.2269 0.2315 0.1761
Pd 0.2315 0.2269 0.6761
Pd 0.7685 0.7731 0.3239
Pd 0.7731 0.7685 0.8239
Br 0.0300 0.7950 0.9810
Br 0.1246 0.3437 0.4281
Br 0.2050 0.9700 0.5190
Br 0.2443 0.4753 0.8445
Br 0.3437 0.1246 0.9281
Br 0.4753 0.2443 0.3445
Br 0.5247 0.7557 0.6555
Br 0.6563 0.8754 0.0719
Br 0.7557 0.5247 0.1555
Br 0.7950 0.0300 0.4810
Br 0.8754 0.6563 0.5719
Br 0.9700 0.2050 0.0190

Calculated values
space group	C2/c (15)
E_form (uncorrected)	-6.5	kcal/mol of atoms
mass density	4.68	g/cm³
total moment	0.00	μB/cell

=====

(4)
Computed, not measured: crystalline Ca2AuN at its relaxed geometry at the PBE level of DFT.

Unit cell a=9.3244 b=9.3244 c=4.9653 alpha=90.00 beta=90.00 gamma=158.07
Fractional coordinates of all 8 atoms:
Ca 0.1048 0.8952 0.7500
Ca 0.2837 0.7163 0.7500
Ca 0.7163 0.2837 0.2500
Ca 0.8952 0.1048 0.2500
Au 0.4588 0.5412 0.7500
Au 0.5412 0.4588 0.2500
N 0.3066 0.6934 0.2500
N 0.6934 0.3066 0.7500

Calculated values
space group	Cmcm (63)
E_form (uncorrected)	-18.7	kcal/mol of atoms
mass density	6.00	g/cm³
total moment	0.00	μB/cell

=====

(5)
Computed, not measured: crystalline ScZnO2F at its relaxed geometry at the PBE level of DFT.

Unit cell a=3.9332 b=3.9332 c=3.7849 alpha=90.00 beta=90.00 gamma=90.00
Fractional coordinates of all 5 atoms:
Sc 0.0000 0.0000 0.0000
Zn 0.5000 0.5000 0.5000
O 0.0000 0.5000 0.5000
O 0.5000 0.0000 0.5000
F 0.5000 0.5000 0.0000

Calculated values
space group	P4/mmm (123)
E_form (uncorrected)	-41.2	kcal/mol of atoms
mass density	4.58	g/cm³
total moment	0.00	μB/cell

=====

(6)
Computed, not measured: crystalline LaYOs2 at its relaxed geometry at the PBE level of DFT.

Unit cell a=3.4900 b=3.4900 c=6.9646 alpha=90.00 beta=90.00 gamma=90.00
Fractional coordinates of all 4 atoms:
La 0.0000 0.0000 0.0000
Y 0.0000 0.0000 0.5000
Os 0.5000 0.5000 0.2557
Os 0.5000 0.5000 0.7443

Calculated values
offset from the most stable computed form	0.253	eV per atom
space group	P4/mmm (123)
mass density	11.91	g/cm³
formation energy from the elements	0.157	eV/atom
total moment	0.00	μB/cell

=====

(7)
Computed, not measured: crystalline La2CeTe5 at its relaxed geometry at the PBE level of DFT.

Unit cell a=7.6533 b=7.6533 c=5.4192 alpha=90.00 beta=90.00 gamma=90.00
Fractional coordinates of all 8 atoms:
La 0.0000 0.5000 0.0000
La 0.5000 0.0000 0.0000
Ce 0.0000 0.0000 0.5000
Te 0.0000 0.0000 0.0000
Te 0.2769 0.2769 0.5000
Te 0.2769 0.7231 0.5000
Te 0.7231 0.2769 0.5000
Te 0.7231 0.7231 0.5000

Calculated values
space group	P4/mmm (123)
E_form (uncorrected)	-17.9	kcal/mol of atoms
mass density	5.52	g/cm³
total moment	0.54	μB/cell

=====

(8)
Computed, not measured: crystalline HgRhPb2 at its relaxed geometry at the PBE level of DFT.

Unit cell a=9.3792 b=9.3792 c=9.3792 alpha=22.03 beta=22.03 gamma=22.03
Fractional coordinates of all 4 atoms:
Hg 0.0000 0.0000 0.0000
Rh 0.8326 0.8326 0.8326
Pb 0.2349 0.2349 0.2349
Pb 0.4306 0.4306 0.4306

Calculated values
space group	R3m (160)
mass density	11.72	g/cm³
formation energy from the elements	0.047	eV/atom
total moment	0.00	μB/cell